Model A:
Material: TiSe2BrN
Method: DFT, PBE
State: relaxed

Computed properties:
N(E_F): 0.822 states/eV/atom
Total magnetic moment: 2.8 μB per formula unit

Lattice parameters (Å, degrees): 4.911 4.911 5.268 90.00 90.00 90.00
Last column: magnetic moment on the atom in μB.
Fractional coordinates of all 5 atoms:
N  0.500  0.500  0.500  1.88
Se  0.000  0.500  0.000  -0.06
Se  0.500  0.000  0.000  -0.06
Br  0.000  0.000  0.500  0.03
Ti  0.000  0.000  0.000  0.09

Model B:
Material: TiSe2BrN
Method: DFT, PBE
State: relaxed

Computed properties:
N(E_F): 1.004 states/eV/atom
Total magnetic moment: 0.0 μB per formula unit

Lattice parameters (Å, degrees): 4.523 4.523 4.333 90.00 90.00 90.00
Last column: magnetic moment on the atom in μB.
Fractional coordinates of all 5 atoms:
N  0.000  0.000  0.000  0.00
Se  0.000  0.500  0.000  -0.02
Se  0.500  0.000  0.000  -0.02
Br  0.000  0.000  0.500  0.00
Ti  0.500  0.500  0.500  0.06

Stability, highest: model A

Model A:
Material: TiSeBrN2
Method: DFT, PBE
State: relaxed

Computed properties:
N(E_F): 0.747 states/eV/atom
Total magnetic moment: 0.0 μB per formula unit

Lattice parameters (Å, degrees): 3.891 3.891 5.824 90.00 90.00 90.00
Fractional coordinates of all 5 atoms:
N  0.000  0.500  0.000
N  0.500  0.000  0.000
Se  0.000  0.000  0.500
Br  0.500  0.500  0.500
Ti  0.000  0.000  0.000

Model B:
Material: TiSeBrN2
Method: DFT, PBE
State: relaxed

Computed properties:
N(E_F): 0.616 states/eV/atom
Total magnetic moment: 0.0 μB per formula unit

Lattice parameters (Å, degrees): 3.947 3.947 4.969 90.00 90.00 90.00
Fractional coordinates of all 5 atoms:
N  0.000  0.500  0.000
N  0.500  0.000  0.000
Se  0.000  0.000  0.500
Br  0.000  0.000  0.000
Ti  0.500  0.500  0.500

Stability, highest: model A